VASP calculation (GGA+U) on Ac2SbMoO8 after structural relaxation.

## Properties
Energy in eV per atom: -7.313
V in Å³/cell: 198

Cell lengths 5.687, 6.204, 6.264 Å; angles 77.54, 77.23, 68.28 degrees
Space group P-1 (No. 2)
Symmetry-distinct sites (fractional):
Ac1 0.109 0.154 0.200 (multiplicity 2)
Sb1 0.500 0.500 0.500 (multiplicity 1)
Mo1 0.500 0.500 0.000 (multiplicity 1)
O1 0.242 0.817 0.483 (multiplicity 2)
O2 0.264 0.816 0.985 (multiplicity 2)
O3 0.289 0.426 0.814 (multiplicity 2)
O4 0.315 0.410 0.307 (multiplicity 2)


VASP calculation (GGA+U) on Ac2ScMoO8 after structural relaxation.

## Properties
Energy in eV per atom: -7.741
V in Å³/cell: 203

Cell lengths 5.795, 6.247, 6.299 Å; angles 76.35, 76.97, 68.00 degrees
Space group P-1 (No. 2)
Symmetry-distinct sites (fractional):
Ac1 0.100 0.158 0.199 (multiplicity 2)
Sc1 0.500 0.500 0.500 (multiplicity 1)
Mo1 0.500 0.500 0.000 (multiplicity 1)
O1 0.234 0.824 0.484 (multiplicity 2)
O2 0.266 0.820 0.983 (multiplicity 2)
O3 0.288 0.430 0.841 (multiplicity 2)
O4 0.318 0.410 0.286 (multiplicity 2)


VASP calculation (GGA+U) on AcSi2MoO8 after structural relaxation.

## Properties
Energy in eV per atom: -7.641
V in Å³/cell: 451

Cell lengths 4.8828, 4.8828, 21.8501 Å; angles 90.00, 90.00, 120.00 degrees
Space group R-3 (No. 148, hexagonal axes)
Symmetry-distinct sites (fractional):
Ac1 0.0000 0.0000 0.0000 (multiplicity 3)
Si1 0.0000 0.0000 0.2439 (multiplicity 6)
Mo1 0.0000 0.0000 0.5000 (multiplicity 3)
O1 0.0000 0.0000 0.3179 (multiplicity 6)
O2 0.0039 0.3532 0.8880 (multiplicity 18)


VASP calculation (GGA+U) on AcSm2MoO8 after structural relaxation.

## Properties
Energy in eV per atom: -7.628
V in Å³/cell: 384

Cell lengths 7.269, 7.307, 7.233 Å; angles 90.00, 90.00, 90.00 degrees
Space group Cmmm (No. 65)
Symmetry-distinct sites (fractional):
Ac1 0.000 0.000 0.000 (multiplicity 2)
Sm1 0.000 0.500 0.264 (multiplicity 4)
Mo1 0.000 0.000 0.500 (multiplicity 2)
O1 0.000 0.182 0.302 (multiplicity 8)
O2 0.178 0.500 0.000 (multiplicity 4)
O3 0.230 0.500 0.500 (multiplicity 4)


VASP calculation (GGA+U) on AcSmMoO6 after structural relaxation.

## Properties
Energy in eV per atom: -7.725
V in Å³/cell: 146

Cell lengths 5.6872, 5.6872, 5.1972 Å; angles 90.00, 90.00, 120.00 degrees
Space group P312 (No. 149)
Symmetry-distinct sites (fractional):
Ac1 0.0000 0.0000 0.0000 (multiplicity 1)
Sm1 0.3333 0.6667 0.5000 (multiplicity 1)
Mo1 0.6667 0.3333 0.5000 (multiplicity 1)
O1 0.3847 0.0464 0.7131 (multiplicity 6)


VASP calculation (GGA+U) on AcSnMo2O8 after structural relaxation.

## Properties
Energy in eV per atom: -6.914
V in Å³/cell: 246

Cell lengths 5.4592, 5.4592, 9.5163 Å; angles 90.00, 90.00, 120.00 degrees
Space group P-3 (No. 147)
Symmetry-distinct sites (fractional):
Ac1 0.0000 0.0000 0.0000 (multiplicity 1)
Sn1 0.0000 0.0000 0.5000 (multiplicity 1)
Mo1 0.3333 0.6667 0.2417 (multiplicity 2)
O1 0.0286 0.3608 0.1706 (multiplicity 6)
O2 0.3333 0.6667 0.4307 (multiplicity 2)


VASP calculation (GGA+U) on AcSnMoO6 after structural relaxation.

## Properties
Energy in eV per atom: -7.050
V in Å³/cell: 263

Cell lengths 5.075, 5.075, 10.195 Å; angles 90.00, 90.00, 90.00 degrees
Space group P4_2nm (No. 102)
Symmetry-distinct sites (fractional):
Ac1 0.000 0.000 0.000 (multiplicity 2)
Sn1 0.000 0.000 0.337 (multiplicity 2)
Mo1 0.000 0.000 0.667 (multiplicity 2)
O1 0.169 0.169 0.510 (multiplicity 4)
O2 0.215 0.215 0.813 (multiplicity 4)
O3 0.233 0.233 0.193 (multiplicity 4)


VASP calculation (GGA+U) on SrAc2MoO6 after structural relaxation.

## Properties
Energy in eV per atom: -7.438
V in Å³/cell: 164

Cell lengths 5.977, 6.042, 6.056 Å; angles 62.05, 62.75, 62.93 degrees
Space group P-1 (No. 2)
Symmetry-distinct sites (fractional):
Sr1 0.000 0.000 0.000 (multiplicity 1)
Ac1 0.270 0.265 0.272 (multiplicity 2)
Mo1 0.500 0.500 0.500 (multiplicity 1)
O1 0.164 0.382 0.693 (multiplicity 2)
O2 0.297 0.838 0.626 (multiplicity 2)
O3 0.382 0.703 0.167 (multiplicity 2)


VASP calculation (GGA+U) on SrAcMoO5 after structural relaxation.

## Properties
Energy in eV per atom: -7.173
V in Å³/cell: 612

Cell lengths 7.381, 10.389, 8.433 Å; angles 90.00, 108.90, 90.00 degrees
Space group C2/c (No. 15)
Symmetry-distinct sites (fractional):
Sr1 0.000 0.169 0.250 (multiplicity 4)
Ac1 0.000 0.500 0.000 (multiplicity 4)
Mo1 0.000 0.174 0.750 (multiplicity 4)
O1 0.000 0.394 0.250 (multiplicity 4)
O2 0.125 0.287 0.646 (multiplicity 8)
O3 0.139 0.058 0.913 (multiplicity 8)


VASP calculation (GGA+U) on SrAcMo2O8 after structural relaxation.

## Properties
Energy in eV per atom: -7.302
V in Å³/cell: 426

Cell lengths 7.810, 7.810, 6.989 Å; angles 90.00, 90.00, 90.00 degrees
Space group I-4m2 (No. 119)
Symmetry-distinct sites (fractional):
Sr1 0.000 0.000 0.000 (multiplicity 2)
Ac1 0.000 0.500 0.750 (multiplicity 2)
Mo1 0.000 0.000 0.500 (multiplicity 2)
Mo2 0.000 0.500 0.250 (multiplicity 2)
O1 0.000 0.189 0.664 (multiplicity 8)
O2 0.000 0.321 0.089 (multiplicity 8)


VASP calculation (GGA+U) on AcTaMoO6 after structural relaxation.

## Properties
Energy in eV per atom: -8.436
V in Å³/cell: 258

Cell lengths 5.061, 5.061, 10.078 Å; angles 90.00, 90.00, 90.00 degrees
Space group P4_2nm (No. 102)
Symmetry-distinct sites (fractional):
Ac1 0.000 0.000 0.000 (multiplicity 2)
Ta1 0.000 0.000 0.338 (multiplicity 2)
Mo1 0.000 0.000 0.673 (multiplicity 2)
O1 0.167 0.167 0.500 (multiplicity 4)
O2 0.215 0.215 0.201 (multiplicity 4)
O3 0.225 0.225 0.810 (multiplicity 4)


VASP calculation (GGA+U) on AcTbMoO6 after structural relaxation.

## Properties
Energy in eV per atom: -7.763
V in Å³/cell: 143

Cell lengths 5.6173, 5.6173, 5.2262 Å; angles 90.00, 90.00, 120.00 degrees
Space group P312 (No. 149)
Symmetry-distinct sites (fractional):
Ac1 0.0000 0.0000 0.0000 (multiplicity 1)
Tb1 0.3333 0.6667 0.5000 (multiplicity 1)
Mo1 0.6667 0.3333 0.5000 (multiplicity 1)
O1 0.3845 0.0406 0.7120 (multiplicity 6)


VASP calculation (GGA+U) on Ac2TbMoO6 after structural relaxation.

## Properties
Energy in eV per atom: -7.972
V in Å³/cell: 311

Cell lengths 5.958, 6.127, 10.357 Å; angles 90.00, 124.75, 90.00 degrees
Space group P2_1/c (No. 14)
Symmetry-distinct sites (fractional):
Ac1 0.236 0.049 0.249 (multiplicity 4)
Tb1 0.500 0.000 0.000 (multiplicity 2)
Mo1 0.000 0.000 0.500 (multiplicity 2)
O1 0.139 0.207 0.944 (multiplicity 4)
O2 0.236 0.699 0.943 (multiplicity 4)
O3 0.350 0.042 0.744 (multiplicity 4)


VASP calculation (GGA+U) on AcTbMo2O8 after structural relaxation.

## Properties
Energy in eV per atom: -7.640
V in Å³/cell: 342

Cell lengths 5.417, 5.417, 11.645 Å; angles 90.00, 90.00, 90.00 degrees
Space group I-4 (No. 82)
Symmetry-distinct sites (fractional):
Ac1 0.000 0.000 0.000 (multiplicity 2)
Tb1 0.000 0.500 0.750 (multiplicity 2)
Mo1 0.000 0.000 0.500 (multiplicity 2)
Mo2 0.000 0.500 0.250 (multiplicity 2)
O1 0.153 0.234 0.586 (multiplicity 8)
O2 0.186 0.759 0.167 (multiplicity 8)


VASP calculation (GGA+U) on AcTe2MoO8 after structural relaxation.

## Properties
Energy in eV per atom: -6.251
V in Å³/cell: 231

Cell lengths 6.4580, 6.4580, 6.3949 Å; angles 90.00, 90.00, 120.00 degrees
Space group P-3m1 (No. 164)
Symmetry-distinct sites (fractional):
Ac1 0.0000 0.0000 0.0000 (multiplicity 1)
Te1 0.3333 0.6667 0.3410 (multiplicity 2)
Mo1 0.0000 0.0000 0.5000 (multiplicity 1)
O1 0.1423 0.2846 0.3076 (multiplicity 6)
O2 0.3333 0.6667 0.6243 (multiplicity 2)


VASP calculation (GGA+U) on Ac2ThMoO8 after structural relaxation.

## Properties
Energy in eV per atom: -8.024
V in Å³/cell: 207

Cell lengths 5.352, 7.154, 5.394 Å; angles 90.00, 91.09, 90.00 degrees
Space group P2/m (No. 10)
Symmetry-distinct sites (fractional):
Ac1 0.000 0.239 0.000 (multiplicity 2)
Th1 0.500 0.500 0.500 (multiplicity 1)
Mo1 0.500 0.000 0.500 (multiplicity 1)
O1 0.203 0.500 0.204 (multiplicity 2)
O2 0.245 0.000 0.249 (multiplicity 2)
O3 0.330 0.213 0.671 (multiplicity 4)


VASP calculation (GGA+U) on Ac2TiMoO6 after structural relaxation.

## Properties
Energy in eV per atom: -8.096
V in Å³/cell: 137

Cell lengths 5.763, 5.763, 4.130 Å; angles 90.00, 90.00, 90.00 degrees
Space group P4/mmm (No. 123)
Symmetry-distinct sites (fractional):
Ac1 0.000 0.500 0.000 (multiplicity 2)
Ti1 0.000 0.000 0.500 (multiplicity 1)
Mo1 0.500 0.500 0.500 (multiplicity 1)
O1 0.000 0.000 0.000 (multiplicity 1)
O2 0.243 0.243 0.500 (multiplicity 4)
O3 0.500 0.500 0.000 (multiplicity 1)


VASP calculation (GGA+U) on Ac3Tl3MoO8 after structural relaxation.

## Properties
Energy in eV per atom: -6.471
V in Å³/cell: 625

Cell lengths 12.993, 7.419, 7.762 Å; angles 90.00, 123.29, 90.00 degrees
Space group C2/m (No. 12)
Symmetry-distinct sites (fractional):
Ac1 0.000 0.000 0.000 (multiplicity 2)
Ac2 0.250 0.250 0.000 (multiplicity 4)
Tl1 0.000 0.500 0.500 (multiplicity 2)
Tl2 0.250 0.250 0.500 (multiplicity 4)
Mo1 0.000 0.500 0.000 (multiplicity 2)
O1 0.016 0.287 0.834 (multiplicity 8)
O2 0.205 0.500 0.169 (multiplicity 4)
O3 0.226 0.000 0.184 (multiplicity 4)


VASP calculation (GGA+U) on AcTlMoO5 after structural relaxation.

## Properties
Energy in eV per atom: -6.866
V in Å³/cell: 712

Cell lengths 8.245, 11.056, 8.758 Å; angles 90.00, 116.89, 90.00 degrees
Space group C2/c (No. 15)
Symmetry-distinct sites (fractional):
Ac1 0.000 0.000 0.000 (multiplicity 4)
Tl1 0.000 0.295 0.250 (multiplicity 4)
Mo1 0.000 0.311 0.750 (multiplicity 4)
O1 0.000 0.086 0.250 (multiplicity 4)
O2 0.084 0.215 0.633 (multiplicity 8)
O3 0.180 0.405 0.896 (multiplicity 8)